Here is an optimized crystal structure of GaPbI4Br from Alexandria via LeMat-Bulk. Energies are from PBE.

a b c (Å): 8.667 8.667 11.517
angles (deg): 89.88 89.88 60.45
Sites, in units of the cell vectors:
Ga: 0.657 0.657 0.725
Ga: 0.343 0.343 0.275
Pb: 0.144 0.144 0.002
Pb: 0.856 0.856 0.998
I: 0.330 0.330 0.491
I: 0.670 0.670 0.509
I: 0.011 0.486 0.188
I: 0.497 0.497 0.182
I: 0.514 0.989 0.812
I: 0.486 0.011 0.188
I: 0.503 0.503 0.818
I: 0.989 0.514 0.812
Br: 0.002 0.002 0.167
Br: 0.998 0.998 0.833

Calculated values
As for the uncorrected formation energy: -4.0 eV per formula unit. The crystal system is monoclinic. For the calculated density, the calculation gives 3.81 g cm⁻³.